No. 1
{
  "formula": "Y2TlPt",
  "functional": "GGA-PBE",
  "state": "relaxed",
  "lattice_angstrom": [[7.1933, 0.0000, 0.0000], [0.0000, 3.5820, 0.0000], [0.0000, 0.0000, 7.6128]],
  "species": ["Y", "Y", "Y", "Y", "Tl", "Tl", "Pt", "Pt"],
  "fractional_positions": [[0.0054, 0.0000, 0.2203], [0.4946, 0.0000, 0.2203], [0.5054, 0.0000, 0.7797], [0.9946, 0.0000, 0.7797], [0.2500, 0.5000, 0.5088], [0.7500, 0.5000, 0.4912], [0.2500, 0.5000, 0.9761], [0.7500, 0.5000, 0.0239]],
  "ef_ev_per_fu": -3.2,
  "space_group": "Pmma",
  "magmom_total_mub_per_atom": 0.00,
  "polymorph_energy_mev_per_atom": 3
}

No. 2
{
  "formula": "AcLaCd4",
  "functional": "GGA-PBE",
  "state": "relaxed",
  "lattice_angstrom": [[0.0000, 4.3500, 4.3500], [4.3500, 0.0000, 4.3500], [4.3500, 4.3500, 0.0000]],
  "species": ["Ac", "La", "Cd", "Cd", "Cd", "Cd"],
  "fractional_positions": [[0.0000, 0.0000, 0.0000], [0.7500, 0.7500, 0.7500], [0.3754, 0.3754, 0.3754], [0.3754, 0.3754, 0.8737], [0.3754, 0.8737, 0.3754], [0.8737, 0.3754, 0.3754]],
  "ef_ev_per_fu": -1.9,
  "space_group": "F-43m",
  "magmom_total_mub_per_atom": 0.00,
  "polymorph_energy_mev_per_atom": 26
}

No. 3
{
  "formula": "CeSnSe2",
  "functional": "GGA-PBE",
  "state": "relaxed",
  "lattice_angstrom": [[1.9864, -11.8703, 0.0000], [1.9864, 11.8703, 0.0000], [0.0000, 0.0000, 4.6247]],
  "species": ["Ce", "Ce", "Sn", "Sn", "Se", "Se", "Se", "Se"],
  "fractional_positions": [[0.0596, 0.9404, 0.7500], [0.9404, 0.0596, 0.2500], [0.3150, 0.6850, 0.7500], [0.6850, 0.3150, 0.2500], [0.1833, 0.8167, 0.7500], [0.4421, 0.5579, 0.7500], [0.5579, 0.4421, 0.2500], [0.8167, 0.1833, 0.2500]],
  "raw_formation_energy_ev_per_atom": -0.98,
  "space_group": "Cmcm",
  "magmom_total_mub_per_atom": 0.38,
  "polymorph_energy_mev_per_atom": 0
}

No. 4
{
  "formula": "Ba3Sr7",
  "functional": "GGA-PBE",
  "state": "relaxed",
  "lattice_angstrom": [[6.1165, 0.0000, 0.0000], [0.0000, 3.0635, 15.2980], [0.0000, -3.0635, 15.2980]],
  "species": ["Ba", "Ba", "Ba", "Sr", "Sr", "Sr", "Sr", "Sr", "Sr", "Sr"],
  "fractional_positions": [[0.0000, 0.0000, 0.0000], [0.0000, 0.3973, 0.3973], [0.5000, 0.1030, 0.1030], [0.0000, 0.2022, 0.2022], [0.0000, 0.6028, 0.6028], [0.0000, 0.7982, 0.7982], [0.5000, 0.2977, 0.2977], [0.5000, 0.5001, 0.5001], [0.5000, 0.7022, 0.7022], [0.5000, 0.8973, 0.8973]],
  "ef_ev_per_fu": 0.1,
  "space_group": "Amm2",
  "magmom_total_mub_per_atom": 0.00,
  "polymorph_energy_mev_per_atom": 0
}

No. 5
{
  "formula": "RbSmOsO6",
  "functional": "GGA-PBE",
  "state": "relaxed",
  "lattice_angstrom": [[5.7429, 0.0000, 0.0000], [-2.8715, 4.9735, 0.0000], [0.0000, 0.0000, 6.0972]],
  "species": ["Rb", "Sm", "Os", "O", "O", "O", "O", "O", "O"],
  "fractional_positions": [[0.0000, 0.0000, 0.0000], [0.3333, 0.6667, 0.5000], [0.6667, 0.3333, 0.5000], [0.4123, 0.0555, 0.6784], [0.4123, 0.3568, 0.3216], [0.6432, 0.0555, 0.3216], [0.6432, 0.5877, 0.6784], [0.9445, 0.3568, 0.6784], [0.9445, 0.5877, 0.3216]],
  "raw_formation_energy_ev_per_atom": -1.75,
  "space_group": "P312",
  "magmom_total_mub_per_atom": 0.00
}

No. 6
{
  "formula": "LiPu3Ni8",
  "functional": "GGA-PBE",
  "state": "relaxed",
  "lattice_angstrom": [[2.4848, 1.4346, 8.1154], [-2.4848, 1.4346, 8.1154], [0.0000, -2.8692, 8.1154]],
  "species": ["Li", "Pu", "Pu", "Pu", "Ni", "Ni", "Ni", "Ni", "Ni", "Ni", "Ni", "Ni"],
  "fractional_positions": [[0.0000, 0.0000, 0.0000], [0.1235, 0.1235, 0.1235], [0.5027, 0.5027, 0.5027], [0.6297, 0.6297, 0.6297], [0.0628, 0.5624, 0.5624], [0.0650, 0.0650, 0.5670], [0.0650, 0.5670, 0.0650], [0.3146, 0.3146, 0.3146], [0.5624, 0.0628, 0.5624], [0.5624, 0.5624, 0.0628], [0.5670, 0.0650, 0.0650], [0.8138, 0.8138, 0.8138]],
  "ef_ev_per_fu": -2.7,
  "space_group": "R3m",
  "magmom_total_mub_per_atom": 1.17
}

No. 7
{
  "formula": "Na3HoEr3Te8",
  "functional": "GGA-PBE",
  "state": "relaxed",
  "lattice_angstrom": [[4.3322, 2.5012, 7.6969], [-4.3322, 2.5012, 7.6969], [0.0000, -5.0024, 7.6969]],
  "species": ["Na", "Na", "Na", "Ho", "Er", "Er", "Er", "Te", "Te", "Te", "Te", "Te", "Te", "Te", "Te"],
  "fractional_positions": [[0.0000, 0.5000, 0.5000], [0.5000, 0.0000, 0.5000], [0.5000, 0.5000, 0.0000], [0.5000, 0.5000, 0.5000], [0.0000, 0.0000, 0.5000], [0.0000, 0.5000, 0.0000], [0.5000, 0.0000, 0.0000], [0.2403, 0.7452, 0.7452], [0.2437, 0.2437, 0.2437], [0.2548, 0.2548, 0.7597], [0.2548, 0.7597, 0.2548], [0.7452, 0.2403, 0.7452], [0.7452, 0.7452, 0.2403], [0.7563, 0.7563, 0.7563], [0.7597, 0.2548, 0.2548]],
  "raw_formation_energy_ev_per_atom": -1.24,
  "space_group": "R-3m",
  "magmom_total_mub_per_atom": 0.00
}

No. 8
{
  "formula": "DyBiSO2",
  "functional": "GGA-PBE",
  "state": "relaxed",
  "lattice_angstrom": [[6.3561, 0.0000, 0.0000], [0.0000, 3.9917, 0.0000], [-2.0855, 0.0000, 7.3622]],
  "species": ["Dy", "Dy", "Bi", "Bi", "S", "S", "O", "O", "O", "O"],
  "fractional_positions": [[0.1936, 0.2500, 0.4282], [0.8064, 0.7500, 0.5718], [0.1979, 0.2500, 0.9111], [0.8021, 0.7500, 0.0889], [0.4418, 0.7500, 0.7047], [0.5582, 0.2500, 0.2953], [0.0055, 0.7500, 0.8791], [0.0210, 0.7500, 0.3734], [0.9790, 0.2500, 0.6266], [0.9945, 0.2500, 0.1209]],
  "raw_formation_energy_ev_per_atom": -2.06,
  "space_group": "P2_1/m",
  "magmom_total_mub_per_atom": 0.00
}

No. 9
{
  "formula": "K3YIn",
  "functional": "GGA-PBE",
  "state": "relaxed",
  "lattice_angstrom": [[7.0092, 0.0000, 0.0000], [0.0000, 7.0092, 0.0000], [0.0000, 0.0000, 7.0092]],
  "species": ["K", "K", "K", "Y", "In"],
  "fractional_positions": [[0.0000, 0.0000, 0.5000], [0.0000, 0.5000, 0.0000], [0.5000, 0.0000, 0.0000], [0.0000, 0.0000, 0.0000], [0.5000, 0.5000, 0.5000]],
  "ef_ev_per_fu": 4.9,
  "space_group": "Pm-3m",
  "magmom_total_mub_per_atom": 0.58,
  "polymorph_energy_mev_per_atom": 309
}

No. 10
{
  "formula": "PmScGa2Ni2",
  "functional": "GGA-PBE",
  "state": "relaxed",
  "lattice_angstrom": [[4.2799, 0.0000, 0.0000], [-2.1400, 3.7065, 0.0000], [0.0000, 0.0000, 6.7990]],
  "species": ["Pm", "Sc", "Ga", "Ga", "Ni", "Ni"],
  "fractional_positions": [[0.0000, 0.0000, 0.0000], [0.0000, 0.0000, 0.5000], [0.3333, 0.6667, 0.2918], [0.6667, 0.3333, 0.7082], [0.3333, 0.6667, 0.7001], [0.6667, 0.3333, 0.2999]],
  "ef_ev_per_fu": -3.7,
  "space_group": "P-3m1",
  "magmom_total_mub_per_atom": 0.00
}

No. 11
{
  "formula": "LaPm5Au6",
  "functional": "GGA-PBE",
  "state": "relaxed",
  "lattice_angstrom": [[5.2610, 0.0000, 0.0000], [0.0000, 7.3610, 0.0000], [-2.5730, 0.0000, 7.9045]],
  "species": ["La", "Pm", "Pm", "Pm", "Pm", "Pm", "Au", "Au", "Au", "Au", "Au", "Au"],
  "fractional_positions": [[0.0000, 0.0000, 0.0000], [0.0000, 0.5000, 0.0000], [0.3314, 0.0000, 0.6652], [0.3329, 0.5000, 0.6683], [0.6671, 0.5000, 0.3317], [0.6686, 0.0000, 0.3348], [0.1717, 0.2528, 0.3392], [0.1717, 0.7472, 0.3392], [0.5000, 0.2572, 0.0000], [0.5000, 0.7428, 0.0000], [0.8283, 0.2528, 0.6608], [0.8283, 0.7472, 0.6608]],
  "ef_ev_per_fu": -9.4,
  "space_group": "P2/m",
  "magmom_total_mub_per_atom": 0.00
}

No. 12
{
  "formula": "LaNdMgIr",
  "functional": "GGA-PBE",
  "state": "relaxed",
  "lattice_angstrom": [[0.0000, 3.7000, 3.7000], [3.7000, 0.0000, 3.7000], [3.7000, 3.7000, 0.0000]],
  "species": ["La", "Nd", "Mg", "Ir"],
  "fractional_positions": [[0.0000, 0.0000, 0.0000], [0.5000, 0.5000, 0.5000], [0.7500, 0.7500, 0.7500], [0.2500, 0.2500, 0.2500]],
  "ef_ev_per_fu": -1.2,
  "space_group": "F-43m",
  "magmom_total_mub_per_atom": 0.00
}

No. 13
{
  "formula": "AcPr2Sb2",
  "functional": "GGA-PBE",
  "state": "relaxed",
  "lattice_angstrom": [[3.3424, -3.3629, 0.0000], [3.3424, 3.3629, 0.0000], [-3.3345, 0.0000, 7.4807]],
  "species": ["Ac", "Pr", "Pr", "Sb", "Sb"],
  "fractional_positions": [[0.0000, 0.0000, 0.0000], [0.2491, 0.7509, 0.5000], [0.7509, 0.2491, 0.5000], [0.3982, 0.3982, 0.7951], [0.6018, 0.6018, 0.2049]],
  "raw_formation_energy_ev_per_atom": -0.78,
  "space_group": "C2/m",
  "magmom_total_mub_per_atom": 0.00
}

No. 14
{
  "formula": "Ba2SrGaIr",
  "functional": "GGA-PBE",
  "state": "relaxed",
  "lattice_angstrom": [[6.2357, 0.0000, 0.0000], [0.0000, 6.2357, 0.0000], [0.0000, 0.0000, 4.9609]],
  "species": ["Ba", "Ba", "Sr", "Ga", "Ir"],
  "fractional_positions": [[0.0000, 0.5000, 0.0000], [0.5000, 0.0000, 0.0000], [0.0000, 0.0000, 0.5000], [0.5000, 0.5000, 0.5000], [0.5000, 0.5000, 0.0000]],
  "ef_ev_per_fu": -0.5,
  "space_group": "P4/mmm",
  "magmom_total_mub_per_atom": 0.00
}

No. 15
{
  "formula": "NbMo2Pt",
  "functional": "GGA-PBE",
  "state": "relaxed",
  "lattice_angstrom": [[0.0000, 3.2013, 3.2013], [3.2013, 0.0000, 3.2013], [3.2013, 3.2013, 0.0000]],
  "species": ["Nb", "Mo", "Mo", "Pt"],
  "fractional_positions": [[0.0000, 0.0000, 0.0000], [0.2500, 0.2500, 0.2500], [0.7500, 0.7500, 0.7500], [0.5000, 0.5000, 0.5000]],
  "ef_ev_per_fu": 0.3,
  "space_group": "Fm-3m",
  "magmom_total_mub_per_atom": 0.00,
  "polymorph_energy_mev_per_atom": 231
}

No. 16
{
  "formula": "BaCa2YAu4",
  "functional": "GGA-PBE",
  "state": "relaxed",
  "lattice_angstrom": [[2.5738, 1.4860, 9.3474], [-2.5738, 1.4860, 9.3474], [0.0000, -2.9720, 9.3474]],
  "species": ["Ba", "Ca", "Ca", "Y", "Au", "Au", "Au", "Au"],
  "fractional_positions": [[0.0000, 0.0000, 0.0000], [0.2420, 0.2420, 0.2420], [0.7580, 0.7580, 0.7580], [0.5000, 0.5000, 0.5000], [0.1319, 0.1319, 0.1319], [0.3946, 0.3946, 0.3946], [0.6054, 0.6054, 0.6054], [0.8681, 0.8681, 0.8681]],
  "ef_ev_per_fu": -6.1,
  "space_group": "R-3m",
  "magmom_total_mub_per_atom": 0.00
}

No. 17
{
  "formula": "LiDyCd6",
  "functional": "GGA-PBE",
  "state": "relaxed",
  "lattice_angstrom": [[4.5910, 0.0000, 0.0000], [0.0000, 4.5910, 0.0000], [0.0000, 0.0000, 8.5128]],
  "species": ["Li", "Dy", "Cd", "Cd", "Cd", "Cd", "Cd", "Cd"],
  "fractional_positions": [[0.0000, 0.0000, 0.0000], [0.0000, 0.0000, 0.5000], [0.0000, 0.5000, 0.2348], [0.0000, 0.5000, 0.7652], [0.5000, 0.0000, 0.2348], [0.5000, 0.0000, 0.7652], [0.5000, 0.5000, 0.0000], [0.5000, 0.5000, 0.5000]],
  "ef_ev_per_fu": -1.6,
  "space_group": "P4/mmm",
  "magmom_total_mub_per_atom": 0.00,
  "polymorph_energy_mev_per_atom": 2
}

No. 18
{
  "formula": "PaW3Se8",
  "functional": "GGA-PBE",
  "state": "relaxed",
  "lattice_angstrom": [[7.0687, 0.0000, 0.0000], [-3.5343, 6.1216, 0.0000], [0.0000, 0.0000, 13.2454]],
  "species": ["Pa", "Pa", "W", "W", "W", "W", "W", "W", "Se", "Se", "Se", "Se", "Se", "Se", "Se", "Se", "Se", "Se", "Se", "Se", "Se", "Se", "Se", "Se"],
  "fractional_positions": [[0.3333, 0.6667, 0.0000], [0.6667, 0.3333, 0.5000], [0.1983, 0.3965, 0.7462], [0.1983, 0.8017, 0.7462], [0.3965, 0.1983, 0.2462], [0.6035, 0.8017, 0.7462], [0.8017, 0.1983, 0.2462], [0.8017, 0.6035, 0.2462], [0.0000, 0.0000, 0.3393], [0.0000, 0.0000, 0.8393], [0.0208, 0.5104, 0.3666], [0.1646, 0.3293, 0.1432], [0.1646, 0.8354, 0.1432], [0.3293, 0.1646, 0.6432], [0.3333, 0.6667, 0.6032], [0.4896, 0.5104, 0.3666], [0.4896, 0.9792, 0.3666], [0.5104, 0.0208, 0.8666], [0.5104, 0.4896, 0.8666], [0.6667, 0.3333, 0.1032], [0.6707, 0.8354, 0.1432], [0.8354, 0.1646, 0.6432], [0.8354, 0.6707, 0.6432], [0.9792, 0.4896, 0.8666]],
  "raw_formation_energy_ev_per_atom": -0.59,
  "space_group": "P6_3mc",
  "magmom_total_mub_per_atom": 0.00
}

No. 19
{
  "formula": "EuDyMgIr",
  "functional": "GGA-PBE",
  "state": "relaxed",
  "lattice_angstrom": [[0.0000, 3.5995, 3.5995], [3.5995, 0.0000, 3.5995], [3.5995, 3.5995, 0.0000]],
  "species": ["Eu", "Dy", "Mg", "Ir"],
  "fractional_positions": [[0.0000, 0.0000, 0.0000], [0.5000, 0.5000, 0.5000], [0.7500, 0.7500, 0.7500], [0.2500, 0.2500, 0.2500]],
  "ef_ev_per_fu": -1.1,
  "space_group": "F-43m",
  "magmom_total_mub_per_atom": 1.71
}

No. 20
{
  "formula": "Ir2PtRh3",
  "functional": "GGA-PBE",
  "state": "relaxed",
  "lattice_angstrom": [[5.4715, 0.0000, 0.0000], [-2.7357, 4.7384, 0.0000], [0.0000, 0.0000, 6.7241]],
  "species": ["Ir", "Ir", "Ir", "Ir", "Pt", "Pt", "Rh", "Rh", "Rh", "Rh", "Rh", "Rh"],
  "fractional_positions": [[0.0000, 0.0000, 0.0000], [0.0000, 0.5000, 0.0000], [0.5000, 0.0000, 0.0000], [0.5000, 0.5000, 0.0000], [0.3333, 0.6667, 0.3328], [0.6667, 0.3333, 0.6672], [0.1660, 0.3320, 0.6698], [0.1660, 0.8340, 0.6698], [0.3320, 0.1660, 0.3302], [0.6680, 0.8340, 0.6698], [0.8340, 0.1660, 0.3302], [0.8340, 0.6680, 0.3302]],
  "ef_ev_per_fu": 0.0,
  "space_group": "P-3m1",
  "magmom_total_mub_per_atom": 0.00,
  "polymorph_energy_mev_per_atom": 19
}